1.
A relaxed SmErPu2N4 crystal. Source: the Alexandria database, functional GGA-PBE.

The final energy is -10.343 eV per atom. The density of states at the Fermi level is 12.7 states/eV/cell.

The space group is P2/m (No. 10) and the conventional cell measures 6.016, 3.498 and 6.067 Å, with angles of 90.00, 109.58 and 90.00 degrees. The asymmetric unit holds Sm at (0.000, 0.000, 0.000), Er at (0.000, 0.500, 0.500), Pu at (0.500, 0.000, 0.500), Pu at (0.500, 0.500, 0.000), N at (0.259, 0.000, 0.745) and N at (0.264, 0.500, 0.263).

---

2.
A relaxed HoZrAs2Rh5 crystal. Source: the Alexandria database, functional GGA-PBE.

The final energy is -7.214 eV per atom. The formation energy is -638.6 meV/atom. The density of states at the Fermi level is 6.7 states/eV/cell.

The space group is P4/mmm (No. 123) and the conventional cell measures 4.169, 4.169 and 8.755 Å, with angles of 90.00, 90.00 and 90.00 degrees. The asymmetric unit holds Ho at (0.000, 0.000, 0.000), Zr at (0.000, 0.000, 0.500), As at (0.500, 0.500, 0.362), Rh at (0.000, 0.500, 0.236) and Rh at (0.500, 0.500, 0.000).

---

3.
A relaxed SmHfOsRu crystal. Source: the Alexandria database, functional GGA-PBE.

The final energy is -9.101 eV per atom. The formation energy is -306.2 meV/atom. The density of states at the Fermi level is 12.1 states/eV/cell.

The space group is F-43m (No. 216) and the conventional cell measures 6.709, 6.709 and 6.709 Å, with angles of 90.00, 90.00 and 90.00 degrees. The asymmetric unit holds Sm at (0.000, 0.000, 0.000), Hf at (0.000, 0.000, 0.500), Os at (0.250, 0.250, 0.750) and Ru at (0.250, 0.250, 0.250).

---

4.
A relaxed SiHg2Os crystal. Source: the Alexandria database, functional GGA-PBE.

The final energy is -3.471 eV per atom. The density of states at the Fermi level is 2.6 states/eV/cell.

The space group is Pmmm (No. 47) and the conventional cell measures 3.395, 4.051 and 5.300 Å, with angles of 90.00, 90.00 and 90.00 degrees. The asymmetric unit holds Si at (0.000, 0.000, 0.000), Hg at (0.500, 0.500, 0.251) and Os at (0.000, 0.000, 0.500).

---

5.
A relaxed Ca2AlRe crystal. Source: the Alexandria database, functional GGA-PBE.

The final energy is -4.549 eV per atom. The formation energy is 499.3 meV/atom. The density of states at the Fermi level is 3.7 states/eV/cell.

The space group is P2/m (No. 10) and the conventional cell measures 2.907, 4.678 and 6.330 Å, with angles of 90.00, 90.17 and 90.00 degrees. The asymmetric unit holds Ca at (0.001, 0.000, 0.242), Al at (0.500, 0.500, 0.500) and Re at (0.500, 0.500, 0.000).

---

6.
A relaxed YSiRu crystal. Source: the Alexandria database, functional GGA-PBE.

The final energy is -7.735 eV per atom. The density of states at the Fermi level is 8.8 states/eV/cell.

The space group is P2_1 (No. 4) and the conventional cell measures 5.733, 7.060 and 5.736 Å, with angles of 90.00, 91.43 and 90.00 degrees. The asymmetric unit holds Y at (0.111, 0.000, 0.389), Y at (0.358, 0.490, 0.142), Si at (0.128, 0.164, 0.882), Si at (0.382, 0.665, 0.627), Ru at (0.167, 0.831, 0.914) and Ru at (0.414, 0.331, 0.667).